Entry from Alexandria: a relaxed PuPaGaCo crystal (PBE-GGA).

a = 6.652 Å, b = 6.652 Å, c = 6.652 Å
α = 90.00°, β = 90.00°, γ = 90.00°
Space group F-43m (No. 216)
Symmetry-distinct sites (fractional):
Pu 0.000 0.000 0.000
Pa 0.250 0.250 0.750
Ga 0.250 0.250 0.250
Co 0.000 0.000 0.500

E = -8.623 eV per atom
N(E_F) = 1.61 states/eV/atom
DFT formation energy = -0.53 eV/f.u.

=====

Entry from Alexandria: a relaxed PaGaCoRh crystal (PBE-GGA).

a = 6.465 Å, b = 6.465 Å, c = 6.465 Å
α = 90.00°, β = 90.00°, γ = 90.00°
Space group F-43m (No. 216)
Symmetry-distinct sites (fractional):
Pa 0.000 0.000 0.000
Ga 0.000 0.000 0.500
Co 0.250 0.250 0.250
Rh 0.250 0.250 0.750

E = -7.202 eV per atom
N(E_F) = 1.55 states/eV/atom
DFT formation energy = -1.83 eV/f.u.

=====

Entry from Alexandria: a relaxed PaGaCoRu crystal (PBE-GGA).

a = 6.435 Å, b = 6.435 Å, c = 6.435 Å
α = 90.00°, β = 90.00°, γ = 90.00°
Space group F-43m (No. 216)
Symmetry-distinct sites (fractional):
Pa 0.000 0.000 0.000
Ga 0.000 0.000 0.500
Co 0.250 0.250 0.750
Ru 0.250 0.250 0.250

E = -7.573 eV per atom
N(E_F) = 1.14 states/eV/atom
DFT formation energy = -1.39 eV/f.u.

=====

Entry from Alexandria: a relaxed Pa2GaCo3Si4 crystal (PBE-GGA).

a = 3.952 Å, b = 3.952 Å, c = 9.755 Å
α = 90.00°, β = 90.00°, γ = 90.00°
Space group P-4m2 (No. 115)
Symmetry-distinct sites (fractional):
Pa 0.000 0.500 0.239
Ga 0.000 0.000 0.500
Co 0.000 0.500 0.875
Co 0.500 0.500 0.500
Si 0.000 0.000 0.000
Si 0.000 0.500 0.645
Si 0.500 0.500 0.000

E = -7.181 eV per atom
Raw formation energy = -0.68 eV/atom
N(E_F) = 0.49 states/eV/atom

=====

Entry from Alexandria: a relaxed Pa2Ga4CoSi2 crystal (PBE-GGA).

a = 6.027 Å, b = 6.027 Å, c = 8.671 Å
α = 90.00°, β = 90.00°, γ = 90.00°
Space group I4/mmm (No. 139)
Symmetry-distinct sites (fractional):
Pa 0.000 0.500 0.250
Ga 0.220 0.220 0.000
Co 0.000 0.000 0.500
Si 0.000 0.000 0.232

E = -5.858 eV per atom
Raw formation energy = -0.41 eV/atom
N(E_F) = 1.20 states/eV/atom

=====

Entry from Alexandria: a relaxed PaGa2Co4Si crystal (PBE-GGA).

a = 3.9616 Å, b = 3.9616 Å, c = 24.0167 Å
α = 90.00°, β = 90.00°, γ = 120.00°
Space group R-3m (No. 166, hexagonal axes)
Symmetry-distinct sites (fractional):
Pa 0.0000 0.0000 0.0000
Ga 0.0000 0.0000 0.2412
Co 0.0000 0.0000 0.1352
Co 0.0000 0.0000 0.4019
Si 0.0000 0.0000 0.5000

E = -6.589 eV per atom
Raw formation energy = -0.41 eV/atom
N(E_F) = 0.55 states/eV/atom

=====

Entry from Alexandria: a relaxed Pa3Ga2Co9Si crystal (PBE-GGA).

a = 6.2171 Å, b = 6.2171 Å, c = 7.3201 Å
α = 90.00°, β = 90.00°, γ = 120.00°
Space group P-3m1 (No. 164)
Symmetry-distinct sites (fractional):
Pa 0.0000 0.0000 0.0000
Pa 0.3333 0.6667 0.7354
Ga 0.3333 0.6667 0.2336
Co 0.0000 0.5000 0.0000
Co 0.1308 0.2617 0.2650
Si 0.0000 0.0000 0.5000

E = -6.937 eV per atom
Raw formation energy = -0.01 eV/atom
N(E_F) = 0.77 states/eV/atom

=====

Entry from Alexandria: a relaxed PaGa2Co2Si crystal (PBE-GGA).

a = 4.241 Å, b = 4.241 Å, c = 5.499 Å
α = 90.00°, β = 90.00°, γ = 90.00°
Space group P4/mmm (No. 123)
Symmetry-distinct sites (fractional):
Pa 0.000 0.000 0.000
Ga 0.500 0.500 0.238
Co 0.000 0.500 0.500
Si 0.000 0.000 0.500

E = -6.053 eV per atom
Raw formation energy = -0.19 eV/atom
N(E_F) = 1.55 states/eV/atom